# 1
## TaGaIrRu2 (PBE-GGA)

Data for a relaxed structure of TaGaIrRu2.

As for the calculated density: 10.1 g cm⁻³. For the electronic total energy, the calculation gives -6.74 eV/atom.

Cell lengths 4.6596, 4.9069, 4.6596 Å; angles 90.00, 90.00, 90.00 degrees
Positions (direct):
Ta 0.0000 0.0000 0.0000
Ru 0.0000 0.0000 0.5000
Ir 0.5000 0.5000 0.5000
Ru 0.5000 0.0000 0.0000
Ga 0.0000 0.5000 0.0000


# 2
## Tb2Ga4Ir3Ru (PBE-GGA)

Data for a relaxed structure of Tb2Ga4Ir3Ru.

As for the calculated density: 11.4 g cm⁻³. For the electronic total energy, the calculation gives -6.37 eV/atom.

Cell lengths 4.3273, 4.3273, 9.8919 Å; angles 90.00, 90.00, 90.00 degrees
Positions (direct):
Ga 0.0000 0.5000 0.3757
Ru 0.5000 0.5000 0.5000
Ga 0.5000 0.0000 0.6243
Ir 0.0000 0.0000 0.5000
Tb 0.5000 0.0000 0.2731
Ir 0.0000 0.5000 0.1287
Ga 0.5000 0.5000 0.0000
Tb 0.0000 0.5000 0.7269
Ga 0.0000 0.0000 0.0000
Ir 0.5000 0.0000 0.8713


# 3
## TbGa2IrRu (PBE-GGA)

Data for a relaxed structure of TbGa2IrRu.

As for the calculated density: 10.8 g cm⁻³. For the electronic total energy, the calculation gives -6.33 eV/atom.

Cell lengths 4.3597, 4.3597, 5.7075 Å; angles 112.45, 112.45, 90.00 degrees
Positions (direct):
Ga 0.6305 0.6305 0.2609
Ga 0.3695 0.3695 0.7391
Ru 0.2500 0.7500 0.5000
Tb 0.0000 0.0000 0.0000
Ir 0.7500 0.2500 0.5000


# 4
## GaTc2IrRu (PBE-GGA)

Data for a relaxed structure of GaTc2IrRu.

As for the calculated density: 8.5 g cm⁻³. For the electronic total energy, the calculation gives -6.72 eV/atom.

Cell lengths 4.7730, 4.7985, 4.7730 Å; angles 90.00, 90.00, 90.00 degrees
Positions (direct):
Ru 0.0000 0.5000 0.0000
Ir 0.0000 0.0000 0.0000
Tc 0.0000 0.0000 0.5000
Tc 0.5000 0.0000 0.0000
Ga 0.5000 0.5000 0.5000


# 5
## ThGa2IrRu (PBE-GGA)

Data for a relaxed structure of ThGa2IrRu.

As for the calculated density: 11.9 g cm⁻³. For the electronic total energy, the calculation gives -6.96 eV/atom.

Cell lengths 4.3634, 4.3634, 5.7771 Å; angles 112.19, 112.19, 90.00 degrees
Positions (direct):
Ir 0.7500 0.2500 0.5000
Ga 0.6282 0.6282 0.2564
Ru 0.2500 0.7500 0.5000
Th 0.0000 0.0000 0.0000
Ga 0.3718 0.3718 0.7436


# 6
## ThGa4Ir2Ru (PBE-GGA)

Data for a relaxed structure of ThGa4Ir2Ru.

As for the calculated density: 12.0 g cm⁻³. For the electronic total energy, the calculation gives -6.34 eV/atom.

Cell lengths 4.2801, 4.2801, 9.0053 Å; angles 76.25, 76.25, 60.00 degrees
Positions (direct):
Ga 0.5980 0.5980 0.2061
Ir 0.7618 0.7618 0.7145
Ru 0.5000 0.5000 0.5000
Ga 0.8670 0.8670 0.3989
Ir 0.2382 0.2382 0.2855
Th 0.0000 0.0000 0.0000
Ga 0.4020 0.4020 0.7939
Ga 0.1330 0.1330 0.6011


# 7
## ThGa4IrRu2 (PBE-GGA)

Data for a relaxed structure of ThGa4IrRu2.

As for the calculated density: 10.9 g cm⁻³. For the electronic total energy, the calculation gives -6.28 eV/atom.

Cell lengths 4.2873, 4.2873, 9.0089 Å; angles 76.23, 76.23, 60.00 degrees
Positions (direct):
Ga 0.4019 0.4019 0.7942
Ga 0.5981 0.5981 0.2058
Ir 0.5000 0.5000 0.5000
Ru 0.2357 0.2357 0.2928
Ga 0.8687 0.8687 0.3939
Ga 0.1313 0.1313 0.6061
Ru 0.7643 0.7643 0.7072
Th 0.0000 0.0000 0.0000


# 8
## TmGa4IrRu2 (PBE-GGA)

Data for a relaxed structure of TmGa4IrRu2.

As for the calculated density: 10.7 g cm⁻³. For the electronic total energy, the calculation gives -5.94 eV/atom.

Cell lengths 4.2531, 4.2531, 8.6808 Å; angles 75.82, 75.82, 60.00 degrees
Positions (direct):
Ru 0.7587 0.7587 0.7238
Ru 0.2413 0.2413 0.2762
Ir 0.5000 0.5000 0.5000
Ga 0.8696 0.8696 0.3912
Ga 0.1304 0.1304 0.6088
Ga 0.3969 0.3969 0.8092
Tm 0.0000 0.0000 0.0000
Ga 0.6031 0.6031 0.1908


# 9
## TmGaIrRu (PBE-GGA)

Data for a relaxed structure of TmGaIrRu.

As for the calculated density: 13.4 g cm⁻³. For the electronic total energy, the calculation gives -6.91 eV/atom.

Cell lengths 4.5334, 4.5334, 4.5334 Å; angles 60.00, 60.00, 60.00 degrees
Positions (direct):
Ir 0.2500 0.2500 0.2500
Ga 0.0000 0.0000 0.0000
Ru 0.7500 0.7500 0.7500
Tm 0.5000 0.5000 0.5000


# 10
## Tm2Ga5IrRu2 (PBE-GGA)

Data for a relaxed structure of Tm2Ga5IrRu2.

As for the calculated density: 10.3 g cm⁻³. For the electronic total energy, the calculation gives -5.54 eV/atom.

Cell lengths 3.8275, 9.5404, 9.5404 Å; angles 90.00, 90.00, 90.00 degrees
Positions (direct):
Ru 0.0000 0.6187 0.8813
Ga 0.5000 0.3049 0.5573
Ir 0.0000 0.0000 0.0000
Ga 0.5000 0.1951 0.0573
Ga 0.5000 0.6951 0.4427
Ga 0.5000 0.0000 0.5000
Tm 0.0000 0.1795 0.3205
Ga 0.5000 0.0573 0.8049
Ir 0.0000 0.5000 0.5000
Ga 0.5000 0.9427 0.1951
Ga 0.5000 0.8049 0.9427
Ga 0.5000 0.5000 0.0000
Ru 0.0000 0.1187 0.6187
Ru 0.0000 0.3813 0.1187
Tm 0.0000 0.3205 0.8205
Ga 0.5000 0.5573 0.6951
Ga 0.5000 0.4427 0.3049
Tm 0.0000 0.8205 0.6795
Tm 0.0000 0.6795 0.1795
Ru 0.0000 0.8813 0.3813


# 11
## UGaIrRu (PBE-GGA)

Data for a relaxed structure of UGaIrRu.

As for the calculated density: 14.4 g cm⁻³. For the electronic total energy, the calculation gives -8.48 eV/atom.

Cell lengths 4.6127, 4.6127, 4.6127 Å; angles 60.00, 60.00, 60.00 degrees
Positions (direct):
U 0.5000 0.5000 0.5000
Ga 0.0000 0.0000 0.0000
Ru 0.7500 0.7500 0.7500
Ir 0.2500 0.2500 0.2500


# 12
## Y2Ga4Ir3Ru (PBE-GGA)

Data for a relaxed structure of Y2Ga4Ir3Ru.

As for the calculated density: 10.2 g cm⁻³. For the electronic total energy, the calculation gives -6.73 eV/atom.

Cell lengths 4.3182, 4.3182, 9.9154 Å; angles 90.00, 90.00, 90.00 degrees
Positions (direct):
Ga 0.0000 0.5000 0.3754
Ir 0.5000 0.0000 0.8710
Ru 0.5000 0.5000 0.5000
Ga 0.5000 0.5000 0.0000
Ga 0.5000 0.0000 0.6246
Y 0.5000 0.0000 0.2725
Y 0.0000 0.5000 0.7275
Ir 0.0000 0.5000 0.1290
Ga 0.0000 0.0000 0.0000
Ir 0.0000 0.0000 0.5000


Repeat the sixth record exactly.
## ThGa4Ir2Ru (PBE-GGA)

Data for a relaxed structure of ThGa4Ir2Ru.

As for the calculated density: 12.0 g cm⁻³. For the electronic total energy, the calculation gives -6.34 eV/atom.

Cell lengths 4.2801, 4.2801, 9.0053 Å; angles 76.25, 76.25, 60.00 degrees
Positions (direct):
Ga 0.5980 0.5980 0.2061
Ir 0.7618 0.7618 0.7145
Ru 0.5000 0.5000 0.5000
Ga 0.8670 0.8670 0.3989
Ir 0.2382 0.2382 0.2855
Th 0.0000 0.0000 0.0000
Ga 0.4020 0.4020 0.7939
Ga 0.1330 0.1330 0.6011